P) {
  "formula": "SrSn3Hg",
  "functional": "PBE",
  "state": "optimized geometry",
  "cell": [[5.650, 0.000, 0.000], [0.000, 5.650, 0.000], [0.000, 0.000, 5.650]],
  "species": ["Sr", "Sn", "Sn", "Sn", "Hg"],
  "frac_coords": [[0.000, 0.000, 0.000], [0.000, 0.500, 0.500], [0.500, 0.000, 0.500], [0.500, 0.500, 0.000], [0.500, 0.500, 0.500]],
  "m_tot_mub_per_cell": 0.00,
  "dos_at_fermi_per_ev_cell": 3.33,
  "sg": "Pm-3m"
}

=====

Q) {
  "formula": "SrSn3Hg",
  "functional": "PBE",
  "state": "optimized geometry",
  "cell": [[2.257, -15.221, 0.000], [2.257, 15.221, 0.000], [0.000, 0.000, 4.466]],
  "species": ["Sr", "Sr", "Sn", "Sn", "Sn", "Sn", "Sn", "Sn", "Hg", "Hg"],
  "frac_coords": [[0.169, 0.831, 0.000], [0.831, 0.169, 0.000], [0.051, 0.949, 0.500], [0.279, 0.721, 0.500], [0.449, 0.551, 0.000], [0.551, 0.449, 0.000], [0.721, 0.279, 0.500], [0.949, 0.051, 0.500], [0.378, 0.622, 0.500], [0.622, 0.378, 0.500]],
  "m_tot_mub_per_cell": 0.00,
  "dos_at_fermi_per_ev_cell": 3.10,
  "sg": "Cmmm"
}

=====

R) {
  "formula": "SrSn3Hg",
  "functional": "PBE",
  "state": "optimized geometry",
  "cell": [[4.479, -4.034, 0.000], [4.479, 4.034, 0.000], [-4.354, 0.000, 5.537]],
  "species": ["Sr", "Sn", "Sn", "Sn", "Hg"],
  "frac_coords": [[0.000, 0.000, 0.000], [0.000, 0.500, 0.500], [0.500, 0.000, 0.500], [0.500, 0.500, 0.500], [0.000, 0.000, 0.500]],
  "m_tot_mub_per_cell": 0.00,
  "dos_at_fermi_per_ev_cell": 4.80,
  "sg": "C2/m"
}

=====

S) {
  "formula": "SrSn3Hg",
  "functional": "PBE",
  "state": "optimized geometry",
  "cell": [[6.148, 0.000, 0.000], [0.000, 6.148, 0.000], [0.000, 0.000, 6.148]],
  "species": ["Sr", "Sn", "Sn", "Sn", "Hg"],
  "frac_coords": [[0.000, 0.000, 0.000], [0.000, 0.000, 0.500], [0.000, 0.500, 0.000], [0.500, 0.000, 0.000], [0.500, 0.500, 0.500]],
  "m_tot_mub_per_cell": 0.64,
  "dos_at_fermi_per_ev_cell": 5.77,
  "sg": "Pm-3m"
}

=====

Energetically preferred structure: Q) | next structure: +267 meV per atom

=====

P) {
  "formula": "SrSn2Hg6",
  "functional": "PBE",
  "state": "optimized geometry",
  "cell": [[4.546, -2.641, 0.000], [4.546, 2.641, 0.000], [-0.058, 0.000, 10.090]],
  "species": ["Sr", "Sn", "Sn", "Hg", "Hg", "Hg", "Hg", "Hg", "Hg"],
  "frac_coords": [[0.000, 0.000, 0.000], [0.331, 0.331, 0.802], [0.669, 0.669, 0.198], [0.002, 0.002, 0.341], [0.333, 0.333, 0.496], [0.335, 0.335, 0.152], [0.665, 0.665, 0.848], [0.667, 0.667, 0.504], [0.998, 0.998, 0.659]],
  "m_tot_mub_per_cell": 0.00,
  "dos_at_fermi_per_ev_cell": 2.01,
  "sg": "C2/m"
}

=====

Q) {
  "formula": "SrSn2Hg6",
  "functional": "PBE",
  "state": "optimized geometry",
  "cell": [[7.624, -4.455, 0.000], [7.624, 4.455, 0.000], [-0.760, 0.000, 3.652]],
  "species": ["Sr", "Sn", "Sn", "Hg", "Hg", "Hg", "Hg", "Hg", "Hg"],
  "frac_coords": [[0.000, 0.000, 0.000], [0.359, 0.359, 0.876], [0.641, 0.641, 0.124], [0.006, 0.350, 0.675], [0.322, 0.678, 0.500], [0.350, 0.006, 0.675], [0.650, 0.994, 0.325], [0.678, 0.322, 0.500], [0.994, 0.650, 0.325]],
  "m_tot_mub_per_cell": 0.00,
  "dos_at_fermi_per_ev_cell": 2.12,
  "sg": "C2/m"
}

=====

Energetically preferred structure: P) | next structure: +28 meV per atom

=====

P) {
  "formula": "Sr2Sn2Hg",
  "functional": "PBE",
  "state": "optimized geometry",
  "cell": [[-3.171, 3.171, 4.966], [3.171, -3.171, 4.966], [3.171, 3.171, -4.966]],
  "species": ["Sr", "Sr", "Sn", "Sn", "Hg"],
  "frac_coords": [[0.250, 0.750, 0.500], [0.750, 0.250, 0.500], [0.140, 0.140, 0.000], [0.860, 0.860, 0.000], [0.500, 0.500, 0.000]],
  "m_tot_mub_per_cell": 0.00,
  "dos_at_fermi_per_ev_cell": 9.11,
  "sg": "I4/mmm"
}

=====

Q) {
  "formula": "Sr2Sn2Hg",
  "functional": "PBE",
  "state": "optimized geometry",
  "cell": [[9.144, 0.000, 0.000], [0.000, 9.144, 0.000], [0.000, 0.000, 4.270]],
  "species": ["Sr", "Sr", "Sr", "Sr", "Sn", "Sn", "Sn", "Sn", "Hg", "Hg"],
  "frac_coords": [[0.184, 0.316, 0.000], [0.316, 0.816, 0.000], [0.684, 0.184, 0.000], [0.816, 0.684, 0.000], [0.111, 0.611, 0.500], [0.389, 0.111, 0.500], [0.611, 0.889, 0.500], [0.889, 0.389, 0.500], [0.000, 0.000, 0.000], [0.500, 0.500, 0.000]],
  "m_tot_mub_per_cell": 0.00,
  "dos_at_fermi_per_ev_cell": 6.53,
  "sg": "P4/mbm"
}

=====

Energetically preferred structure: Q) | next structure: +174 meV per atom

=====

P) {
  "formula": "Sr2Sn2Hg",
  "functional": "PBE",
  "state": "optimized geometry",
  "cell": [[-2.139, 2.139, 9.456], [2.139, -2.139, 9.456], [2.139, 2.139, -9.456]],
  "species": ["Sr", "Sr", "Sn", "Sn", "Hg"],
  "frac_coords": [[0.101, 0.101, 0.000], [0.899, 0.899, 0.000], [0.250, 0.750, 0.500], [0.750, 0.250, 0.500], [0.500, 0.500, 0.000]],
  "m_tot_mub_per_cell": 0.00,
  "dos_at_fermi_per_ev_cell": 3.84,
  "sg": "I4/mmm"
}

=====

Q) {
  "formula": "Sr2Sn2Hg",
  "functional": "PBE",
  "state": "optimized geometry",
  "cell": [[8.029, 0.000, 0.000], [0.000, 8.029, 0.000], [0.000, 0.000, 5.046]],
  "species": ["Sr", "Sr", "Sr", "Sr", "Sn", "Sn", "Sn", "Sn", "Hg", "Hg"],
  "frac_coords": [[0.169, 0.331, 0.000], [0.331, 0.831, 0.000], [0.669, 0.169, 0.000], [0.831, 0.669, 0.000], [0.133, 0.633, 0.500], [0.367, 0.133, 0.500], [0.633, 0.867, 0.500], [0.867, 0.367, 0.500], [0.000, 0.000, 0.500], [0.500, 0.500, 0.500]],
  "m_tot_mub_per_cell": 0.34,
  "dos_at_fermi_per_ev_cell": 4.48,
  "sg": "P4/mbm"
}

=====

R) {
  "formula": "Sr2Sn2Hg",
  "functional": "PBE",
  "state": "optimized geometry",
  "cell": [[5.953, -2.555, 0.000], [5.953, 2.555, 0.000], [-5.591, 0.000, 10.485]],
  "species": ["Sr", "Sr", "Sr", "Sr", "Sn", "Sn", "Sn", "Sn", "Hg", "Hg"],
  "frac_coords": [[0.016, 0.016, 0.331], [0.183, 0.183, 0.105], [0.817, 0.817, 0.895], [0.984, 0.984, 0.669], [0.360, 0.360, 0.446], [0.474, 0.474, 0.111], [0.526, 0.526, 0.889], [0.640, 0.640, 0.554], [0.275, 0.275, 0.662], [0.725, 0.725, 0.338]],
  "m_tot_mub_per_cell": 0.00,
  "dos_at_fermi_per_ev_cell": 2.35,
  "sg": "C2/m"
}

=====

Energetically preferred structure: R) | next structure: +80 meV per atom

=====

P) {
  "formula": "Sr2Sn3Hg",
  "functional": "PBE",
  "state": "optimized geometry",
  "cell": [[6.137, -2.428, 0.000], [6.137, 2.428, 0.000], [-4.873, 0.000, 6.189]],
  "species": ["Sr", "Sr", "Sn", "Sn", "Sn", "Hg"],
  "frac_coords": [[0.000, 0.000, 0.000], [0.118, 0.118, 0.612], [0.389, 0.389, 0.594], [0.399, 0.399, 0.220], [0.712, 0.712, 0.994], [0.711, 0.711, 0.388]],
  "m_tot_mub_per_cell": 0.00,
  "dos_at_fermi_per_ev_cell": 2.59,
  "sg": "Cm"
}

=====

Q) {
  "formula": "Sr2Sn3Hg",
  "functional": "PBE",
  "state": "optimized geometry",
  "cell": [[4.695, 0.000, 0.000], [0.000, 4.955, 0.000], [0.000, 0.000, 8.378]],
  "species": ["Sr", "Sr", "Sn", "Sn", "Sn", "Hg"],
  "frac_coords": [[0.000, 0.000, 0.000], [0.000, 0.500, 0.486], [0.500, 0.000, 0.328], [0.500, 0.000, 0.669], [0.500, 0.500, 0.155], [0.500, 0.500, 0.821]],
  "m_tot_mub_per_cell": 0.00,
  "dos_at_fermi_per_ev_cell": 2.82,
  "sg": "Pmm2"
}

=====

Energetically preferred structure: P) | next structure: +52 meV per atom

=====

P) {
  "formula": "Sr2Sn3Hg2",
  "functional": "PBE",
  "state": "optimized geometry",
  "cell": [[5.953, -2.387, 0.000], [5.953, 2.387, 0.000], [-2.670, 0.000, 7.333]],
  "species": ["Sr", "Sr", "Sn", "Sn", "Sn", "Hg", "Hg"],
  "frac_coords": [[0.138, 0.138, 0.281], [0.862, 0.862, 0.719], [0.397, 0.397, 0.066], [0.500, 0.500, 0.500], [0.603, 0.603, 0.934], [0.167, 0.167, 0.737], [0.833, 0.833, 0.263]],
  "m_tot_mub_per_cell": 0.00,
  "dos_at_fermi_per_ev_cell": 2.89,
  "sg": "C2/m"
}

=====

Q) {
  "formula": "Sr2Sn3Hg2",
  "functional": "PBE",
  "state": "optimized geometry",
  "cell": [[6.118, -2.343, 0.000], [6.118, 2.343, 0.000], [-2.749, 0.000, 7.250]],
  "species": ["Sr", "Sr", "Sn", "Sn", "Sn", "Hg", "Hg"],
  "frac_coords": [[0.136, 0.136, 0.274], [0.864, 0.864, 0.726], [0.163, 0.163, 0.755], [0.500, 0.500, 0.500], [0.837, 0.837, 0.245], [0.402, 0.402, 0.065], [0.598, 0.598, 0.935]],
  "m_tot_mub_per_cell": 0.00,
  "dos_at_fermi_per_ev_cell": 3.23,
  "sg": "C2/m"
}

=====

Energetically preferred structure: Q) | next structure: +7 meV per atom

=====

P) {
  "formula": "SrSn2Hg3",
  "functional": "PBE",
  "state": "optimized geometry",
  "cell": [[9.017, -2.505, 0.000], [9.017, 2.505, 0.000], [-4.111, 0.000, 7.573]],
  "species": ["Sr", "Sr", "Sn", "Sn", "Sn", "Sn", "Hg", "Hg", "Hg", "Hg", "Hg", "Hg"],
  "frac_coords": [[0.141, 0.141, 0.141], [0.859, 0.859, 0.859], [0.181, 0.181, 0.681], [0.500, 0.500, 0.168], [0.500, 0.500, 0.832], [0.819, 0.819, 0.319], [0.000, 0.000, 0.334], [0.000, 0.000, 0.666], [0.320, 0.320, 0.099], [0.320, 0.320, 0.540], [0.680, 0.680, 0.460], [0.680, 0.680, 0.901]],
  "m_tot_mub_per_cell": 0.00,
  "dos_at_fermi_per_ev_cell": 4.87,
  "sg": "C2/m"
}

=====

Q) {
  "formula": "SrSn2Hg3",
  "functional": "PBE",
  "state": "optimized geometry",
  "cell": [[4.880, 0.000, 0.000], [0.000, 13.582, 0.000], [0.000, 0.000, 5.097]],
  "species": ["Sr", "Sr", "Sn", "Sn", "Sn", "Sn", "Hg", "Hg", "Hg", "Hg", "Hg", "Hg"],
  "frac_coords": [[0.250, 0.250, 0.000], [0.750, 0.750, 0.000], [0.250, 0.564, 0.003], [0.250, 0.936, 0.003], [0.750, 0.064, 0.997], [0.750, 0.436, 0.997], [0.250, 0.087, 0.500], [0.250, 0.413, 0.500], [0.250, 0.750, 0.501], [0.750, 0.250, 0.499], [0.750, 0.587, 0.500], [0.750, 0.913, 0.500]],
  "m_tot_mub_per_cell": 0.00,
  "dos_at_fermi_per_ev_cell": 5.39,
  "sg": "Pmmn"
}

=====

Energetically preferred structure: P) | next structure: +20 meV per atom

=====

P) {
  "formula": "Sr3Sn2Hg3",
  "functional": "PBE",
  "state": "optimized geometry",
  "cell": [[10.187, -2.160, 0.000], [10.187, 2.160, 0.000], [-0.918, 0.000, 5.763]],
  "species": ["Sr", "Sr", "Sr", "Sn", "Sn", "Hg", "Hg", "Hg"],
  "frac_coords": [[0.000, 0.000, 0.000], [0.142, 0.142, 0.578], [0.858, 0.858, 0.422], [0.239, 0.239, 0.164], [0.761, 0.761, 0.836], [0.376, 0.376, 0.938], [0.500, 0.500, 0.500], [0.624, 0.624, 0.062]],
  "m_tot_mub_per_cell": 0.00,
  "dos_at_fermi_per_ev_cell": 4.11,
  "sg": "C2/m"
}

=====

Q) {
  "formula": "Sr3Sn2Hg3",
  "functional": "PBE",
  "state": "optimized geometry",
  "cell": [[2.424, -6.015, 0.000], [2.424, 6.015, 0.000], [0.000, 0.000, 16.976]],
  "species": ["Sr", "Sr", "Sr", "Sr", "Sr", "Sr", "Sn", "Sn", "Sn", "Sn", "Hg", "Hg", "Hg", "Hg", "Hg", "Hg"],
  "frac_coords": [[0.083, 0.917, 0.605], [0.083, 0.917, 0.895], [0.359, 0.641, 0.750], [0.641, 0.359, 0.250], [0.917, 0.083, 0.105], [0.917, 0.083, 0.395], [0.209, 0.791, 0.107], [0.209, 0.791, 0.393], [0.791, 0.209, 0.607], [0.791, 0.209, 0.893], [0.364, 0.636, 0.250], [0.382, 0.618, 0.533], [0.382, 0.618, 0.967], [0.618, 0.382, 0.033], [0.618, 0.382, 0.467], [0.636, 0.364, 0.750]],
  "m_tot_mub_per_cell": 0.00,
  "dos_at_fermi_per_ev_cell": 7.52,
  "sg": "Cmcm"
}

=====

Energetically preferred structure: Q) | next structure: +64 meV per atom